# LiCa2Br

LiCa2Br after structural relaxation (PBEsol, the Alexandria database).

The energy relative to the lowest polymorph listed for this composition comes out at 0.102 eV/atom. The value obtained for the uncorrected formation energy is -0.499 eV per atom. The value obtained for the volume is 28.90 A^3/atom.

```
data_LiCa2Br
_chemical_formula_sum 'Li1 Ca2 Br1'
_symmetry_space_group_name_H-M 'P 4/m m m'
_symmetry_Int_Tables_number 123
_symmetry_space_group_name_Hall '-P 4 2'
_cell_length_a 5.682
_cell_length_b 5.682
_cell_length_c 3.580
_cell_angle_alpha 90.00
_cell_angle_beta 90.00
_cell_angle_gamma 90.00
loop_
_atom_site_label
_atom_site_type_symbol
_atom_site_fract_x
_atom_site_fract_y
_atom_site_fract_z
_atom_site_occupancy
Li1 Li 0.000 0.000 0.000 1
Ca1 Ca 0.000 0.500 0.500 1
Br1 Br 0.500 0.500 0.000 1
```

# TaAl2OsRu

TaAl2OsRu after structural relaxation (PBEsol, the Alexandria database).

For the energy of formation from the pure elements, the calculation gives 1.0169 eV per atom. The value obtained for the volume is 19.57 A^3/atom.

```
data_TaAl2OsRu
_chemical_formula_sum 'Ta1 Al2 Os1 Ru1'
_symmetry_space_group_name_H-M 'P 4/m m m'
_symmetry_Int_Tables_number 123
_symmetry_space_group_name_Hall '-P 4 2'
_cell_length_a 4.519
_cell_length_b 4.519
_cell_length_c 4.793
_cell_angle_alpha 90.00
_cell_angle_beta 90.00
_cell_angle_gamma 90.00
loop_
_atom_site_label
_atom_site_type_symbol
_atom_site_fract_x
_atom_site_fract_y
_atom_site_fract_z
_atom_site_occupancy
Ta1 Ta 0.000 0.000 0.000 1
Al1 Al 0.000 0.500 0.500 1
Os1 Os 0.000 0.000 0.500 1
Ru1 Ru 0.500 0.500 0.000 1
```

# Sb2Te2W

Sb2Te2W after structural relaxation (PBEsol, the Alexandria database).

The value obtained for the uncorrected formation energy is 0.764 eV per atom. The value obtained for the volume is 25.21 A^3/atom.

```
data_Sb2Te2W
_chemical_formula_sum 'Sb4 Te4 W2'
_symmetry_space_group_name_H-M 'P 4/m b m'
_symmetry_Int_Tables_number 127
_symmetry_space_group_name_Hall '-P 4 2ab'
_cell_length_a 7.050
_cell_length_b 7.050
_cell_length_c 5.073
_cell_angle_alpha 90.00
_cell_angle_beta 90.00
_cell_angle_gamma 90.00
loop_
_atom_site_label
_atom_site_type_symbol
_atom_site_fract_x
_atom_site_fract_y
_atom_site_fract_z
_atom_site_occupancy
Sb1 Sb 0.147 0.353 0.000 1
Te1 Te 0.194 0.694 0.500 1
W1 W 0.000 0.000 0.000 1
```